DFT (PBE) results for an optimized crystal structure of SmZr2Ga9.

Structure (CIF):
```
data_SmZr2Ga9
_chemical_formula_sum 'Sm1 Zr2 Ga9'
_cell_length_a 4.2190
_cell_length_b 4.2190
_cell_length_c 12.4824
_cell_angle_alpha 90.00
_cell_angle_beta 90.00
_cell_angle_gamma 90.00
_symmetry_space_group_name_H-M 'P 4/m m m'
_symmetry_Int_Tables_number 123
_symmetry_space_group_name_Hall '-P 4 2'
loop_
_atom_site_label
_atom_site_fract_x
_atom_site_fract_y
_atom_site_fract_z
Sm1 0.0000 0.0000 0.0000
Zr1 0.0000 0.0000 0.3405
Ga1 0.0000 0.5000 0.1770
Ga2 0.0000 0.5000 0.5000
Ga3 0.5000 0.5000 0.0000
Ga4 0.5000 0.5000 0.3360
```

Values from the calculation:
Total moment (μB/cell): 0.000
Formation energy (eV per formula unit): -5.83

=====

DFT (PBE) results for an optimized crystal structure of NbCr2GaH.

Structure (CIF):
```
data_NbCr2GaH
_chemical_formula_sum 'Nb1 Cr2 Ga1 H1'
_cell_length_a 3.8495
_cell_length_b 3.8495
_cell_length_c 3.9605
_cell_angle_alpha 90.00
_cell_angle_beta 90.00
_cell_angle_gamma 90.00
_symmetry_space_group_name_H-M 'P 4/m m m'
_symmetry_Int_Tables_number 123
_symmetry_space_group_name_Hall '-P 4 2'
loop_
_atom_site_label
_atom_site_fract_x
_atom_site_fract_y
_atom_site_fract_z
Nb1 0.0000 0.0000 0.0000
Cr1 0.0000 0.5000 0.5000
Ga1 0.5000 0.5000 0.0000
H1 0.0000 0.0000 0.5000
```

Values from the calculation:
Total moment (μB/cell): 1.039
DFT total energy (eV/atom): -7.1303

=====

DFT (PBE) results for an optimized crystal structure of Ca2CoNi.

Structure (CIF):
```
data_Ca2CoNi
_chemical_formula_sum 'Ca8 Co4 Ni4'
_cell_length_a 6.8760
_cell_length_b 6.8760
_cell_length_c 6.8760
_cell_angle_alpha 90.00
_cell_angle_beta 90.00
_cell_angle_gamma 90.00
_symmetry_space_group_name_H-M 'F m -3 m'
_symmetry_Int_Tables_number 225
_symmetry_space_group_name_Hall '-F 4 2 3'
loop_
_atom_site_label
_atom_site_fract_x
_atom_site_fract_y
_atom_site_fract_z
Ca1 0.2500 0.2500 0.2500
Co1 0.0000 0.0000 0.0000
Ni1 0.0000 0.0000 0.5000
```

Values from the calculation:
Total moment (μB/cell): 4.505
Formation energy (eV per formula unit): 1.13